Record 1
Computed, not measured: a geometry-optimized TbGaIr4 structure at the PBE level of DFT.

energy relative to the elements: -0.32 eV per atom
ρ: 15.85 g cm⁻³

a = 5.287 Å, b = 5.287 Å, c = 5.287 Å
α = 60.00°, β = 60.00°, γ = 60.00°
Element x y z (fractional)
Ir (0.626, 0.626, 0.123)
Ir (0.626, 0.123, 0.626)
Ir (0.626, 0.626, 0.626)
Ir (0.123, 0.626, 0.626)
Tb (0.250, 0.250, 0.250)
Ga (0.000, 0.000, 0.000)

Record 2
Computed, not measured: a geometry-optimized TbGa3Ir structure at the PBE level of DFT.

relative energy among the computed polymorphs: 279 meV/atom
energy relative to the elements: -0.40 eV per atom
ρ: 8.87 g cm⁻³

a = 3.781 Å, b = 4.714 Å, c = 5.884 Å
α = 90.00°, β = 90.00°, γ = 90.00°
Element x y z (fractional)
Tb (0.000, 0.500, 0.500)
Ga (0.500, 0.000, 0.286)
Ga (0.500, 0.000, 0.714)
Ga (0.000, 0.500, 0.000)
Ir (0.000, 0.000, 0.000)

Record 3
Computed, not measured: a geometry-optimized Tb4GaIr structure at the PBE level of DFT.

relative energy among the computed polymorphs: 142 meV/atom
energy relative to the elements: -0.43 eV per atom
ρ: 8.62 g cm⁻³

a = 6.917 Å, b = 6.981 Å, c = 7.168 Å
α = 90.00°, β = 91.97°, γ = 90.00°
Element x y z (fractional)
Tb (0.857, 0.655, 0.177)
Tb (0.643, 0.155, 0.823)
Tb (0.328, 0.339, 0.348)
Tb (0.172, 0.839, 0.652)
Tb (0.143, 0.345, 0.823)
Tb (0.357, 0.845, 0.177)
Tb (0.672, 0.661, 0.652)
Tb (0.828, 0.161, 0.348)
Ga (0.000, 0.000, 0.000)
Ga (0.500, 0.500, 0.000)
Ir (0.500, 0.000, 0.500)
Ir (0.000, 0.500, 0.500)